# ZrTlAg3Se4, relaxed, DFT PBE-GGA
data_ZrTlAg3Se4
_chemical_formula_sum 'Zr1 Tl1 Ag3 Se4'
_cell_length_a 6.4726
_cell_length_b 6.4726
_cell_length_c 6.4726
_cell_angle_alpha 90.00
_cell_angle_beta 90.00
_cell_angle_gamma 90.00
_space_group_name_H-M_alt 'P -4 3 m'
_space_group_IT_number 215
_space_group_name_Hall 'P -4 2 3'
loop_
_atom_site_label
_atom_site_type_symbol
_atom_site_fract_x
_atom_site_fract_y
_atom_site_fract_z
_atom_site_occupancy
Zr1 Zr 0.0000 0.0000 0.0000 1
Tl1 Tl 0.5000 0.5000 0.5000 1
Ag1 Ag 0.0000 0.0000 0.5000 1
Se1 Se 0.2277 0.2277 0.7723 1
# magnetization = 0.00 μB/f.u.
# raw total energy = -4.28 eV per atom



# Sc2AlPt, relaxed, DFT PBE-GGA
data_Sc2AlPt
_chemical_formula_sum 'Sc8 Al4 Pt4'
_cell_length_a 6.5513
_cell_length_b 6.5513
_cell_length_c 6.5513
_cell_angle_alpha 90.00
_cell_angle_beta 90.00
_cell_angle_gamma 90.00
_space_group_name_H-M_alt 'F -4 3 m'
_space_group_IT_number 216
_space_group_name_Hall 'F -4 2 3'
loop_
_atom_site_label
_atom_site_type_symbol
_atom_site_fract_x
_atom_site_fract_y
_atom_site_fract_z
_atom_site_occupancy
Sc1 Sc 0.0000 0.0000 0.0000 1
Sc2 Sc 0.2500 0.2500 0.2500 1
Al1 Al 0.0000 0.0000 0.5000 1
Pt1 Pt 0.2500 0.2500 0.7500 1
# magnetization = 1.00 μB/f.u.
# raw total energy = -6.31 eV per atom



# RbTa3Pb5, relaxed, DFT PBE-GGA
data_RbTa3Pb5
_chemical_formula_sum 'Rb1 Ta3 Pb5'
_cell_length_a 5.7648
_cell_length_b 5.7648
_cell_length_c 9.2495
_cell_angle_alpha 90.00
_cell_angle_beta 90.00
_cell_angle_gamma 120.00
_space_group_name_H-M_alt 'P 6/m m m'
_space_group_IT_number 191
_space_group_name_Hall '-P 6 2'
loop_
_atom_site_label
_atom_site_type_symbol
_atom_site_fract_x
_atom_site_fract_y
_atom_site_fract_z
_atom_site_occupancy
Rb1 Rb 0.0000 0.0000 0.0000 1
Ta1 Ta 0.0000 0.5000 0.5000 1
Pb1 Pb 0.0000 0.0000 0.5000 1
Pb2 Pb 0.3333 0.6667 0.2192 1
# magnetization = 0.00 μB/f.u.
# raw total energy = -5.93 eV per atom



# HfCuMoPb, relaxed, DFT PBE-GGA
data_HfCuMoPb
_chemical_formula_sum 'Hf4 Cu4 Mo4 Pb4'
_cell_length_a 6.6679
_cell_length_b 6.6679
_cell_length_c 6.6679
_cell_angle_alpha 90.00
_cell_angle_beta 90.00
_cell_angle_gamma 90.00
_space_group_name_H-M_alt 'F -4 3 m'
_space_group_IT_number 216
_space_group_name_Hall 'F -4 2 3'
loop_
_atom_site_label
_atom_site_type_symbol
_atom_site_fract_x
_atom_site_fract_y
_atom_site_fract_z
_atom_site_occupancy
Hf1 Hf 0.0000 0.0000 0.0000 1
Cu1 Cu 0.2500 0.2500 0.7500 1
Mo1 Mo 0.2500 0.2500 0.2500 1
Pb1 Pb 0.0000 0.0000 0.5000 1
# magnetization = 0.00 μB/f.u.
# raw total energy = -6.64 eV per atom



Number 4 is which compound?
HfCuMoPb